This record from Alexandria via LeMat-Bulk describes a relaxed NaCaEu crystal. The functional is PBE. Values from VASP.

Summary:
**Space-group type**: P3m1, No. 156
**E**: -4.4683 eV/atom
**Fermi-level density of states**: 2.40 states/eV/f.u.
**E_form**: 0.06 eV/atom

The structure in Quantum ESPRESSO input format:
```
&SYSTEM
  ibrav = 0, nat = 3, ntyp = 3
/
ATOMIC_SPECIES
Na 22.99 Na.upf
Ca 40.08 Ca.upf
Eu 151.96 Eu.upf
CELL_PARAMETERS angstrom
3.877 0.000 0.000
-1.938 3.357 0.000
0.000 0.000 9.607
ATOMIC_POSITIONS crystal
Na 0.000 0.000 0.000
Ca 0.333 0.667 0.669
Eu 0.667 0.333 0.337
```